No. 1
# GGA-PBE VNiGePt, relaxed
data_VNiGePt
_symmetry_space_group_name_H-M 'P 1'
_symmetry_Int_Tables_number 1
_symmetry_space_group_name_Hall 'P 1'
_cell_length_a 4.261
_cell_length_b 4.261
_cell_length_c 4.261
_cell_angle_alpha 60.00
_cell_angle_beta 60.00
_cell_angle_gamma 60.00
loop_
_atom_site_label
_atom_site_fract_x
_atom_site_fract_y
_atom_site_fract_z
Ni1 0.250 0.250 0.250
Pt1 0.000 0.000 0.000
Ge1 0.750 0.750 0.750
V1 0.500 0.500 0.500
# calculated volume	54.7	Å³/cell
# crystal system	cubic
# M_tot	0.242	μB per atom
# energy	-6.64	eV per atom
# ΔH_f (0 K)	-95	kJ/mol of formula units

=====

No. 2
# GGA-PBE V2Ni7Ge2Pt, relaxed
data_V2Ni7Ge2Pt
_symmetry_space_group_name_H-M 'P 1'
_symmetry_Int_Tables_number 1
_symmetry_space_group_name_Hall 'P 1'
_cell_length_a 3.619
_cell_length_b 3.619
_cell_length_c 12.604
_cell_angle_alpha 73.30
_cell_angle_beta 73.30
_cell_angle_gamma 89.99
loop_
_atom_site_label
_atom_site_fract_x
_atom_site_fract_y
_atom_site_fract_z
Ni1 0.746 0.746 0.500
Ni2 0.837 0.337 0.163
Ni3 0.500 0.500 0.000
Ni4 0.337 0.837 0.163
Ni5 0.163 0.663 0.837
Ni6 0.663 0.163 0.837
Ni7 0.254 0.254 0.500
Ge1 0.690 0.690 0.310
Ge2 0.310 0.310 0.690
V1 0.176 0.176 0.324
V2 0.824 0.824 0.676
Pt1 0.000 0.000 0.000
# calculated volume	150.8	Å³/cell
# crystal system	orthorhombic
# M_tot	0.000	μB per atom
# energy	-6.28	eV per atom
# ΔH_f (0 K)	-138	kJ/mol of formula units

=====

No. 3
# GGA-PBE Y2NiGe3Pt4, relaxed
data_Y2NiGe3Pt4
_symmetry_space_group_name_H-M 'P 1'
_symmetry_Int_Tables_number 1
_symmetry_space_group_name_Hall 'P 1'
_cell_length_a 4.199
_cell_length_b 4.199
_cell_length_c 10.414
_cell_angle_alpha 90.00
_cell_angle_beta 90.00
_cell_angle_gamma 90.00
loop_
_atom_site_label
_atom_site_fract_x
_atom_site_fract_y
_atom_site_fract_z
Pt1 0.500 0.000 0.633
Pt2 0.500 0.500 0.000
Pt3 0.000 0.500 0.367
Pt4 0.000 0.000 0.000
Ge1 0.000 0.000 0.500
Ge2 0.500 0.000 0.864
Ge3 0.000 0.500 0.136
Y1 0.000 0.500 0.738
Y2 0.500 0.000 0.262
Ni1 0.500 0.500 0.500
# calculated volume	183.6	Å³/cell
# crystal system	tetragonal
# M_tot	0.000	μB per atom
# energy	-6.50	eV per atom
# ΔH_f (0 K)	-799	kJ/mol of formula units

=====

No. 4
# GGA-PBE Y2NiGe4Pt3, relaxed
data_Y2NiGe4Pt3
_symmetry_space_group_name_H-M 'P 1'
_symmetry_Int_Tables_number 1
_symmetry_space_group_name_Hall 'P 1'
_cell_length_a 4.219
_cell_length_b 4.219
_cell_length_c 10.323
_cell_angle_alpha 90.00
_cell_angle_beta 90.00
_cell_angle_gamma 90.00
loop_
_atom_site_label
_atom_site_fract_x
_atom_site_fract_y
_atom_site_fract_z
Ge1 0.000 0.000 0.000
Ge2 0.500 0.500 0.000
Ge3 0.500 0.000 0.626
Ge4 0.000 0.500 0.374
Pt1 0.000 0.500 0.137
Pt2 0.500 0.000 0.863
Pt3 0.000 0.000 0.500
Y1 0.500 0.000 0.261
Y2 0.000 0.500 0.739
Ni1 0.500 0.500 0.500
# calculated volume	183.8	Å³/cell
# crystal system	tetragonal
# M_tot	0.000	μB per atom
# energy	-6.36	eV per atom
# ΔH_f (0 K)	-805	kJ/mol of formula units

=====

No. 5
# GGA-PBE Pu11Ni4Ge9, relaxed
data_Pu11Ni4Ge9
_symmetry_space_group_name_H-M 'P 1'
_symmetry_Int_Tables_number 1
_symmetry_space_group_name_Hall 'P 1'
_cell_length_a 4.014
_cell_length_b 11.381
_cell_length_c 11.381
_cell_angle_alpha 113.71
_cell_angle_beta 90.00
_cell_angle_gamma 90.00
loop_
_atom_site_label
_atom_site_fract_x
_atom_site_fract_y
_atom_site_fract_z
Ge1 0.500 0.837 0.376
Ge2 0.500 0.931 0.783
Ge3 0.500 0.163 0.624
Ge4 0.500 0.069 0.217
Ge5 0.500 0.217 0.069
Ge6 0.500 0.500 0.500
Ge7 0.500 0.624 0.163
Ge8 0.500 0.783 0.931
Ge9 0.500 0.376 0.837
Ni1 0.500 0.444 0.240
Ni2 0.500 0.760 0.556
Ni3 0.500 0.556 0.760
Ni4 0.500 0.240 0.444
Pu1 0.000 0.954 0.603
Pu2 0.000 0.603 0.954
Pu3 0.000 0.162 0.838
Pu4 0.000 0.374 0.626
Pu5 0.000 0.626 0.374
Pu6 0.000 0.000 0.000
Pu7 0.000 0.305 0.305
Pu8 0.000 0.397 0.046
Pu9 0.000 0.046 0.397
Pu10 0.000 0.695 0.695
Pu11 0.000 0.838 0.162
# calculated volume	476.1	Å³/cell
# crystal system	orthorhombic
# M_tot	1.516	μB per atom
# energy	-9.67	eV per atom
# ΔH_f (0 K)	-952	kJ/mol of formula units

=====

No. 6
# GGA-PBE Pu2Ni3Ge5, relaxed
data_Pu2Ni3Ge5
_symmetry_space_group_name_H-M 'P 1'
_symmetry_Int_Tables_number 1
_symmetry_space_group_name_Hall 'P 1'
_cell_length_a 5.878
_cell_length_b 8.177
_cell_length_c 8.177
_cell_angle_alpha 73.81
_cell_angle_beta 68.94
_cell_angle_gamma 68.94
loop_
_atom_site_label
_atom_site_fract_x
_atom_site_fract_y
_atom_site_fract_z
Ni1 0.363 0.531 0.744
Ni2 0.637 0.469 0.256
Ni3 0.750 0.000 0.000
Ni4 0.863 0.744 0.531
Ni5 0.250 0.000 0.000
Ni6 0.137 0.256 0.469
Ge1 0.597 0.742 0.065
Ge2 0.403 0.258 0.935
Ge3 0.522 0.228 0.228
Ge4 0.978 0.772 0.772
Ge5 0.903 0.935 0.258
Ge6 0.097 0.065 0.742
Ge7 0.250 0.500 0.500
Ge8 0.022 0.228 0.228
Ge9 0.478 0.772 0.772
Ge10 0.750 0.500 0.500
Pu1 0.637 0.130 0.597
Pu2 0.363 0.870 0.403
Pu3 0.137 0.597 0.130
Pu4 0.863 0.403 0.870
# calculated volume	337.1	Å³/cell
# crystal system	orthorhombic
# excess energy over the best structure of this formula in the dataset	0	meV/atom
# M_tot	1.077	μB per atom
# energy	-7.39	eV per atom
# ΔH_f (0 K)	-461	kJ/mol of formula units

=====

No. 7
# GGA-PBE PuNi2Ge3, relaxed
data_PuNi2Ge3
_symmetry_space_group_name_H-M 'P 1'
_symmetry_Int_Tables_number 1
_symmetry_space_group_name_Hall 'P 1'
_cell_length_a 5.669
_cell_length_b 5.669
_cell_length_c 7.917
_cell_angle_alpha 69.02
_cell_angle_beta 69.02
_cell_angle_gamma 60.00
loop_
_atom_site_label
_atom_site_fract_x
_atom_site_fract_y
_atom_site_fract_z
Ni1 0.000 0.500 0.000
Ni2 0.500 0.000 0.000
Ni3 0.500 0.500 0.000
Ni4 0.000 0.000 0.000
Ge1 0.253 0.746 0.255
Ge2 0.254 0.254 0.745
Ge3 0.747 0.254 0.745
Ge4 0.746 0.253 0.255
Ge5 0.746 0.746 0.255
Ge6 0.254 0.747 0.745
Pu1 0.796 0.796 0.611
Pu2 0.204 0.204 0.389
# calculated volume	200.6	Å³/cell
# crystal system	trigonal
# M_tot	0.857	μB per atom
# energy	-6.89	eV per atom
# ΔH_f (0 K)	-156	kJ/mol of formula units

=====

No. 8
# GGA-PBE Pu2Ni5Ge3, relaxed
data_Pu2Ni5Ge3
_symmetry_space_group_name_H-M 'P 1'
_symmetry_Int_Tables_number 1
_symmetry_space_group_name_Hall 'P 1'
_cell_length_a 4.076
_cell_length_b 6.829
_cell_length_c 11.485
_cell_angle_alpha 90.00
_cell_angle_beta 100.22
_cell_angle_gamma 90.00
loop_
_atom_site_label
_atom_site_fract_x
_atom_site_fract_y
_atom_site_fract_z
Ni1 0.272 0.477 0.544
Ni2 0.618 0.082 0.236
Ni3 0.046 0.465 0.092
Ni4 0.710 0.348 0.420
Ni5 0.954 0.965 0.908
Ni6 0.290 0.848 0.580
Ni7 0.382 0.582 0.764
Ni8 0.143 0.290 0.286
Ni9 0.728 0.977 0.456
Ni10 0.857 0.790 0.714
Ge1 0.762 0.653 0.524
Ge2 0.940 0.571 0.879
Ge3 0.609 0.452 0.218
Ge4 0.060 0.071 0.121
Ge5 0.238 0.153 0.476
Ge6 0.391 0.952 0.782
Pu1 0.842 0.254 0.683
Pu2 0.521 0.773 0.041
Pu3 0.479 0.273 0.959
Pu4 0.158 0.754 0.317
# calculated volume	314.7	Å³/cell
# crystal system	orthorhombic
# excess energy over the best structure of this formula in the dataset	0	meV/atom
# M_tot	1.093	μB per atom
# energy	-7.54	eV per atom
# ΔH_f (0 K)	-381	kJ/mol of formula units

=====

No. 9
# GGA-PBE PuNi6Ge4, relaxed
data_PuNi6Ge4
_symmetry_space_group_name_H-M 'P 1'
_symmetry_Int_Tables_number 1
_symmetry_space_group_name_Hall 'P 1'
_cell_length_a 3.766
_cell_length_b 6.861
_cell_length_c 6.861
_cell_angle_alpha 120.00
_cell_angle_beta 90.00
_cell_angle_gamma 90.00
loop_
_atom_site_label
_atom_site_fract_x
_atom_site_fract_y
_atom_site_fract_z
Ni1 0.000 0.927 0.463
Ni2 0.000 0.537 0.073
Ni3 0.500 0.588 0.794
Ni4 0.000 0.537 0.463
Ni5 0.500 0.206 0.794
Ni6 0.500 0.206 0.412
Ge1 0.000 0.333 0.667
Ge2 0.500 0.383 0.192
Ge3 0.500 0.808 0.617
Ge4 0.500 0.808 0.192
Pu1 0.000 0.000 0.000
# calculated volume	153.6	Å³/cell
# crystal system	hexagonal
# excess energy over the best structure of this formula in the dataset	0	meV/atom
# M_tot	0.527	μB per atom
# energy	-6.53	eV per atom
# ΔH_f (0 K)	-423	kJ/mol of formula units

=====

Question: Look up the calculated volume of the seventh one.
Answer: 200.6 Å³/cell